Crystalline AcIn2Ge at its relaxed geometry. Source: the Alexandria database, functional GGA-PBE.

Cell: 4.6235 4.9904 10.1829 Å, 99.61 90.00 90.00°
Atoms (fractional coordinates):
In 0.2500 0.0733 0.9332
In 0.2500 0.2467 0.5082
Ac 0.7500 0.4407 0.7870
In 0.7500 0.9267 0.0668
Ac 0.2500 0.5593 0.2130
Ge 0.7500 0.1720 0.3320
Ge 0.2500 0.8280 0.6680
In 0.7500 0.7533 0.4918

Summary:
Energy above the most stable polymorph in this dataset (meV per atom): 54
Space group: P2_1/m
Volume (A^3/atom): 28.96